Entry 1:
Entry from the Open Quantum Materials Database: an optimized crystal structure of WSe3 (PBE).

Cell lengths 6.2868, 6.2868, 16.1272 Å; angles 90.00, 90.00, 120.00 degrees
Space group R-3c (No. 167, hexagonal axes)
One atom of each set of equivalent atoms:
W (0.0000, 0.0000, 0.0000) x6
Se (0.0000, 0.3302, 0.2500) x18

Results
E_tot: -5.880 eV/atom
Crystal system: trigonal
Relative energy among the computed polymorphs: 3.654 kcal/mol of atoms

---

Entry 2:
Entry from the Open Quantum Materials Database: an optimized crystal structure of ZrW5Se2 (PBE).

Cell lengths 5.9965, 5.9965, 4.8687 Å; angles 90.00, 90.00, 90.00 degrees
Space group P4/mmm (No. 123)
One atom of each set of equivalent atoms:
Zr (0.0000, 0.0000, 0.0000) x1
W (0.0000, 0.0000, 0.5000) x1
W (0.2962, 0.2962, 0.0000) x4
Se (0.0000, 0.5000, 0.5000) x2

Results
E_tot: -8.148 eV/atom
Crystal system: tetragonal

---

Entry 3:
Entry from the Open Quantum Materials Database: an optimized crystal structure of Y4ZnSe3 (PBE).

Cell lengths 5.8054, 5.8054, 5.8054 Å; angles 90.00, 90.00, 90.00 degrees
Space group Pm-3m (No. 221)
One atom of each set of equivalent atoms:
Y (0.0000, 0.0000, 0.0000) x1
Y (0.0000, 0.5000, 0.5000) x3
Zn (0.5000, 0.5000, 0.5000) x1
Se (0.0000, 0.0000, 0.5000) x3

Results
E_tot: -6.119 eV/atom
Crystal system: cubic

---

Entry 4:
Entry from the Open Quantum Materials Database: an optimized crystal structure of Zr3ZnSe (PBE).

Cell lengths 3.4757, 12.7907, 9.5470 Å; angles 90.00, 90.00, 90.00 degrees
Space group Cmcm (No. 63)
One atom of each set of equivalent atoms:
Zr (0.0000, 0.0701, 0.2500) x4
Zr (0.0000, 0.3422, 0.0580) x8
Zn (0.0000, 0.2625, 0.7500) x4
Se (0.0000, 0.0000, 0.0000) x4

Results
E_tot: -6.627 eV/atom
Crystal system: orthorhombic

---

Entry 5:
Entry from the Open Quantum Materials Database: an optimized crystal structure of ZrSe2 (PBE).

Cell lengths 6.5007, 6.5007, 3.8373 Å; angles 90.00, 90.00, 90.00 degrees
Space group P4_2/mnm (No. 136)
One atom of each set of equivalent atoms:
Zr (0.0000, 0.0000, 0.0000) x2
Se (0.1995, 0.1995, 0.5000) x4

Results
E_tot: -6.360 eV/atom
Crystal system: tetragonal

---

Entry 6:
Entry from the Open Quantum Materials Database: an optimized crystal structure of Zr2Se (PBE).

Cell lengths 12.7073, 15.8756, 3.6314 Å; angles 90.00, 90.00, 90.00 degrees
Space group Pnnm (No. 58)
One atom of each set of equivalent atoms:
Zr (0.0324, 0.1099, 0.0000) x4
Zr (0.0771, 0.7469, 0.5000) x4
Zr (0.0832, 0.5805, 0.0000) x4
Zr (0.1229, 0.4242, 0.5000) x4
Zr (0.1495, 0.9762, 0.5000) x4
Zr (0.1995, 0.2033, 0.5000) x4
Se (0.0795, 0.2935, 0.0000) x4
Se (0.1829, 0.8481, 0.0000) x4
Se (0.2456, 0.5802, 0.5000) x4

Results
E_tot: -7.793 eV/atom
Crystal system: orthorhombic